# 1
The following is a DFT calculation (PBE-GGA) of crystalline NdYNiPt at its relaxed geometry.

abc: 7.0269 7.0269 7.0269
angles: 90.00 90.00 90.00
Closest atoms and distances in Å follow each position.
Space group F-43m (No. 216)
One atom of each set of equivalent atoms:
Nd  0.0000  0.0000  0.0000 [4 per cell]  4 Ni 3.04, 4 Pt 3.04
Y  0.0000  0.0000  0.5000 [4 per cell]  4 Ni 3.04, 4 Pt 3.04
Ni  0.2500  0.2500  0.2500 [4 per cell]  4 Nd 3.04, 4 Y 3.04
Pt  0.2500  0.2500  0.7500 [4 per cell]  4 Nd 3.04, 4 Y 3.04

Results
Electronic total energy: -6.46 eV/atom
Energy above the most stable polymorph in this dataset: 90.3 meV/atom
Total magnetization: 0.00 μB/cell
ΔH_f (0 K): -2.8 eV per formula unit

=====

# 2
The following is a DFT calculation (PBE-GGA) of crystalline NdYNiPt at its relaxed geometry.

abc: 4.4299 3.9105 10.3773
angles: 90.00 90.00 90.00
Closest atoms and distances in Å follow each position.
Space group Amm2 (No. 38)
One atom of each set of equivalent atoms:
Nd  0.0000  0.0000  0.0000 [2 per cell]  3 Ni 2.89-3.01, 4 Pt 3.04
Y  0.5000  0.0000  0.2801 [2 per cell]  3 Pt 2.95-2.98, 4 Ni 3.02
Ni  0.0000  0.0000  0.7211 [2 per cell]  2 Pt 2.73, 3 Nd 2.89-3.01, 4 Y 3.02
Pt  0.5000  0.0000  0.5672 [2 per cell]  2 Ni 2.73, 3 Y 2.95-2.98, 4 Nd 3.04

Results
Electronic total energy: -6.55 eV/atom
Energy above the most stable polymorph in this dataset: 0.0 meV/atom
Total magnetization: 0.00 μB/cell
ΔH_f (0 K): -3.2 eV per formula unit

=====

# 3
The following is a DFT calculation (PBE-GGA) of crystalline NdZnNiPt3 at its relaxed geometry.

abc: 6.4742 12.0098 5.6301
angles: 90.00 90.00 90.00
Closest atoms and distances in Å follow each position.
Space group Cmcm (No. 63)
One atom of each set of equivalent atoms:
Nd  0.0000  0.2100  0.2500 [4 per cell]  1 Ni 2.64, 2 Zn 2.93
Zn  0.0000  0.1437  0.7500 [4 per cell]  5 Pt 2.47-2.61
Ni  0.0000  0.4297  0.2500 [4 per cell]  5 Pt 2.50-2.65, 1 Nd 2.64
Pt  0.0000  0.3496  0.7500 [4 per cell]  1 Zn 2.47, 1 Ni 2.65
Pt  0.2096  0.0000  0.0000 [8 per cell]  2 Ni 2.50, 2 Zn 2.61, 1 Pt 2.71

Results
Electronic total energy: -5.45 eV/atom
Total magnetization: 0.00 μB/cell
ΔH_f (0 K): -2.8 eV per formula unit

=====

# 4
The following is a DFT calculation (PBE-GGA) of crystalline Nd2ZnNi3Pt12 at its relaxed geometry.

abc: 8.1417 8.1417 18.6759
angles: 90.00 90.00 120.00
Closest atoms and distances in Å follow each position.
Space group R-3m (No. 166, hexagonal axes)
One atom of each set of equivalent atoms:
Nd  0.0000  0.0000  0.1151 [6 per cell]  6 Pt 2.82-2.84
Zn  0.0000  0.0000  0.5000 [3 per cell]  6 Pt 2.50
Ni  0.0000  0.5000  0.0000 [9 per cell]  6 Pt 2.41-2.42
Pt  0.0065  0.5032  0.8707 [18 per cell]  1 Ni 2.41, 1 Zn 2.50
Pt  0.0133  0.5066  0.3734 [18 per cell]  2 Ni 2.42

Results
Electronic total energy: -5.62 eV/atom
Total magnetization: 12.45 μB/cell
ΔH_f (0 K): -0.6 eV per formula unit

=====

# 5
The following is a DFT calculation (PBE-GGA) of crystalline NdZnNiPt at its relaxed geometry.

abc: 4.3066 4.3066 14.3970
angles: 90.00 90.00 120.00
Closest atoms and distances in Å follow each position.
Space group R3m (No. 160, hexagonal axes)
One atom of each set of equivalent atoms:
Nd  0.0000  0.0000  0.0000 [3 per cell]  4 Ni 2.88-3.14, 4 Pt 3.00-3.07
Zn  0.0000  0.0000  0.4936 [3 per cell]  3 Ni 2.52, 3 Pt 2.58
Ni  0.0000  0.0000  0.8002 [3 per cell]  3 Zn 2.52, 3 Pt 2.71
Pt  0.0000  0.0000  0.2082 [3 per cell]  3 Zn 2.58, 3 Ni 2.71

Results
Electronic total energy: -5.10 eV/atom
Total magnetization: 0.00 μB/cell
ΔH_f (0 K): -2.5 eV per formula unit

=====

# 6
The following is a DFT calculation (PBE-GGA) of crystalline NdZn3NiPt at its relaxed geometry.

abc: 6.1646 12.7449 5.4580
angles: 90.00 90.00 90.00
Closest atoms and distances in Å follow each position.
Space group Cmcm (No. 63)
One atom of each set of equivalent atoms:
Nd  0.0000  0.2339  0.2500 [4 per cell]  1 Ni 2.65, 2 Pt 2.90
Zn  0.0000  0.3631  0.7500 [4 per cell]  1 Ni 2.48, 1 Pt 2.62
Zn  0.2021  0.0000  0.0000 [8 per cell]  2 Ni 2.40, 1 Zn 2.49
Ni  0.0000  0.4421  0.2500 [4 per cell]  5 Zn 2.40-2.48, 1 Nd 2.65
Pt  0.0000  0.1577  0.7500 [4 per cell]  5 Zn 2.62-2.73, 2 Nd 2.90

Results
Electronic total energy: -3.81 eV/atom
Total magnetization: 0.00 μB/cell
ΔH_f (0 K): -2.5 eV per formula unit

=====

# 7
The following is a DFT calculation (PBE-GGA) of crystalline Nd2Zn4NiPt3 at its relaxed geometry.

abc: 4.1302 4.1302 11.0063
angles: 90.00 90.00 90.00
Closest atoms and distances in Å follow each position.
Space group P-4m2 (No. 115)
One atom of each set of equivalent atoms:
Nd  0.0000  0.5000  0.2414 [2 per cell]  6 Pt 3.18-3.37, 8 Zn 3.18-3.52, 2 Ni 3.37
Zn  0.0000  0.0000  0.5000 [1 per cell]  4 Pt 2.60
Zn  0.0000  0.5000  0.8737 [2 per cell]  2 Ni 2.49, 3 Pt 2.49-2.53
Zn  0.5000  0.5000  0.5000 [1 per cell]  4 Pt 2.60
Ni  0.5000  0.5000  0.0000 [1 per cell]  4 Zn 2.49
Pt  0.0000  0.0000  0.0000 [1 per cell]  4 Zn 2.49
Pt  0.0000  0.5000  0.6442 [2 per cell]  5 Zn 2.53-2.60

Results
Electronic total energy: -4.52 eV/atom
Total magnetization: 0.00 μB/cell
ΔH_f (0 K): -6.6 eV per formula unit

=====

# 8
The following is a DFT calculation (PBE-GGA) of crystalline Nd2ZnNi2Pt5 at its relaxed geometry.

abc: 9.3326 9.3326 3.9877
angles: 90.00 90.00 90.00
Closest atoms and distances in Å follow each position.
Space group P4/mbm (No. 127)
One atom of each set of equivalent atoms:
Nd  0.1767  0.3233  0.0000 [4 per cell]  3 Ni 2.66-2.83
Zn  0.0000  0.0000  0.0000 [2 per cell]  8 Pt 2.83
Ni  0.1218  0.6218  0.0000 [4 per cell]  6 Pt 2.56-2.62, 3 Nd 2.66-2.83
Pt  0.0000  0.5000  0.5000 [2 per cell]  4 Ni 2.56, 4 Pt 2.81
Pt  0.0645  0.7942  0.5000 [8 per cell]  2 Ni 2.62, 3 Pt 2.81-2.85, 2 Zn 2.83

Results
Electronic total energy: -5.99 eV/atom
Total magnetization: 0.00 μB/cell
ΔH_f (0 K): -7.3 eV per formula unit

=====

# 9
The following is a DFT calculation (PBE-GGA) of crystalline NdPuNi4 at its relaxed geometry.

abc: 7.2379 7.2379 7.2379
angles: 90.00 90.00 90.00
Closest atoms and distances in Å follow each position.
Space group F-43m (No. 216)
One atom of each set of equivalent atoms:
Nd  0.0000  0.0000  0.0000 [4 per cell]  12 Ni 3.00, 4 Pu 3.13
Pu  0.2500  0.2500  0.7500 [4 per cell]  12 Ni 3.00, 4 Nd 3.13
Ni  0.1238  0.1238  0.3762 [16 per cell]  6 Ni 2.54-2.58

Results
Electronic total energy: -7.29 eV/atom
Total magnetization: 20.58 μB/cell
ΔH_f (0 K): -1.5 eV per formula unit

=====

# 10
The following is a DFT calculation (PBE-GGA) of crystalline NdPuNi at its relaxed geometry.

abc: 4.5937 4.5937 3.8897
angles: 90.00 90.00 120.00
Closest atoms and distances in Å follow each position.
Space group P3m1 (No. 156)
One atom of each set of equivalent atoms:
Nd  0.0000  0.0000  0.0000 [1 per cell]  3 Ni 3.04, 6 Pu 3.19-3.39
Pu  0.6667  0.3333  0.5423 [1 per cell]  3 Ni 2.73
Ni  0.3333  0.6667  0.3794 [1 per cell]  3 Pu 2.73, 3 Nd 3.04

Results
Electronic total energy: -8.17 eV/atom
Energy above the most stable polymorph in this dataset: 130.5 meV/atom
Total magnetization: 5.80 μB/cell
ΔH_f (0 K): 0.4 eV per formula unit

=====

# 11
The following is a DFT calculation (PBE-GGA) of crystalline NdPuNi at its relaxed geometry.

abc: 3.4621 3.4621 12.0819
angles: 90.00 90.00 90.00
Closest atoms and distances in Å follow each position.
Space group I4mm (No. 107)
One atom of each set of equivalent atoms:
Nd  0.0000  0.0000  0.0000 [2 per cell]  4 Ni 2.99, 1 Pu 3.27
Pu  0.0000  0.0000  0.2709 [2 per cell]  4 Ni 2.90
Ni  0.0000  0.0000  0.6422 [2 per cell]  4 Pu 2.90, 4 Nd 2.99

Results
Electronic total energy: -8.29 eV/atom
Energy above the most stable polymorph in this dataset: 12.5 meV/atom
Total magnetization: 12.18 μB/cell
ΔH_f (0 K): 0.0 eV per formula unit

=====

# 12
The following is a DFT calculation (PBE-GGA) of crystalline Nd2PuNi2 at its relaxed geometry.

abc: 3.8777 6.1715 9.6415
angles: 90.00 90.00 90.00
Closest atoms and distances in Å follow each position.
Space group Immm (No. 71)
One atom of each set of equivalent atoms:
Nd  0.0000  0.0000  0.1969 [4 per cell]  4 Ni 3.00
Pu  0.0000  0.5000  0.0000 [2 per cell]  4 Ni 2.65
Ni  0.0000  0.2930  0.5000 [4 per cell]  1 Ni 2.55, 2 Pu 2.65

Results
Electronic total energy: -7.28 eV/atom
Total magnetization: 12.09 μB/cell
ΔH_f (0 K): -1.0 eV per formula unit